a) Entry from Alexandria: crystalline Zr2Bi2Au at its relaxed geometry (PBE-GGA).

Structure (extended XYZ):
```
10
Lattice="8.0298 0.0000 0.0000 0.0000 8.0298 0.0000 0.0000 0.0000 3.8492" Properties=species:S:1:pos:R:3 pbc="T T T"
Zr 1.1475 5.1624 1.9246
Zr 6.8823 2.8674 1.9246
Zr 2.8674 1.1475 1.9246
Zr 5.1624 6.8823 1.9246
Bi 6.7862 5.2585 0.0000
Bi 2.7713 6.7862 0.0000
Bi 1.2436 2.7713 0.0000
Bi 5.2585 1.2436 0.0000
Au 4.0149 4.0149 0.0000
Au 0.0000 0.0000 0.0000
```

Values from the calculation:
Density of states at the Fermi level = 0.85 states/eV/atom



b) Entry from Alexandria: crystalline Zr2Bi2Au at its relaxed geometry (PBE-GGA).

Structure (extended XYZ):
```
10
Lattice="7.7861 0.0000 0.0000 0.0000 7.7861 0.0000 0.0000 0.0000 4.0955" Properties=species:S:1:pos:R:3 pbc="T T T"
Zr 1.1406 2.7524 0.0000
Zr 6.6455 5.0337 0.0000
Zr 5.0337 1.1406 0.0000
Zr 2.7524 6.6455 0.0000
Bi 2.6791 1.2140 2.0477
Bi 6.5721 2.6791 2.0477
Bi 5.1071 6.5721 2.0477
Bi 1.2140 5.1071 2.0477
Au 0.0000 0.0000 0.0000
Au 3.8931 3.8931 0.0000
```

Values from the calculation:
Density of states at the Fermi level = 1.13 states/eV/atom



How far above the most stable structure does each one sit? In meV per atom: a) 195; b) 0.